First-principles (PBE) data for crystalline Tm2ZnRu at its relaxed geometry, as listed in Alexandria via LeMat-Bulk.

Properties
Symmetry: R-3m
E above lowest polymorph (eV/atom): 0.2976
Formation energy from the elements (eV/f.u.): -0.67

abc: 3.502 3.502 8.589
angles: 78.24 78.24 60.00
Positions (direct):
Tm  0.758  0.758  0.727
Tm  0.242  0.242  0.273
Zn  0.000  0.000  0.000
Ru  0.500  0.500  0.500